1.
K3La2RuO6: optimized geometry, PBE-GGA.

abc: 6.1153 10.4899 6.5710
angles: 90.00 107.49 90.00
Space group C2/m (No. 12)
Symmetry-distinct sites (fractional):
K1 0.0000 0.0000 0.0000 (multiplicity 2)
K2 0.0000 0.3423 0.0000 (multiplicity 4)
La1 0.0000 0.1693 0.5000 (multiplicity 4)
Ru1 0.0000 0.5000 0.5000 (multiplicity 2)
O1 0.2191 0.3472 0.6933 (multiplicity 8)
O2 0.2377 0.5000 0.3158 (multiplicity 4)

Density of states at the Fermi level = 0.678 states/eV/atom
Formation energy (no corrections) = -2017.5 meV/atom

---

2.
KLaRu2O8: optimized geometry, PBE-GGA.

abc: 6.0691 6.0691 7.8269
angles: 90.00 90.00 120.00
Space group P-3 (No. 147)
Symmetry-distinct sites (fractional):
K1 0.0000 0.0000 0.0000 (multiplicity 1)
La1 0.0000 0.0000 0.5000 (multiplicity 1)
Ru1 0.3333 0.6667 0.7800 (multiplicity 2)
O1 0.1700 0.8251 0.6984 (multiplicity 6)
O2 0.3333 0.6667 0.0032 (multiplicity 2)

Density of states at the Fermi level = 0.054 states/eV/atom
Formation energy (no corrections) = -1487.7 meV/atom

---

3.
K3La3RuO8: optimized geometry, PBE-GGA.

abc: 7.1531 7.1531 18.8090
angles: 90.00 90.00 120.00
Space group R-3m (No. 166, hexagonal axes)
Symmetry-distinct sites (fractional):
K1 0.0000 0.5000 0.0000 (multiplicity 9)
La1 0.0000 0.5000 0.5000 (multiplicity 9)
Ru1 0.0000 0.0000 0.5000 (multiplicity 3)
O1 0.0000 0.0000 0.2311 (multiplicity 6)
O2 0.0405 0.5203 0.2244 (multiplicity 18)

Density of states at the Fermi level = 0.404 states/eV/atom
Formation energy (no corrections) = -2277.4 meV/atom

---

4.
K4La3RuO8: optimized geometry, PBE-GGA.

abc: 7.1570 7.1570 18.7817
angles: 90.00 90.00 120.00
Space group R-3m (No. 166, hexagonal axes)
Symmetry-distinct sites (fractional):
K1 0.0000 0.0000 0.0000 (multiplicity 3)
K2 0.0000 0.5000 0.0000 (multiplicity 9)
La1 0.0000 0.5000 0.5000 (multiplicity 9)
Ru1 0.0000 0.0000 0.5000 (multiplicity 3)
O1 0.0000 0.0000 0.2318 (multiplicity 6)
O2 0.0245 0.5122 0.2295 (multiplicity 18)

Density of states at the Fermi level = 0.619 states/eV/atom
Formation energy (no corrections) = -2143.3 meV/atom

---

5.
K2LaRuO6: optimized geometry, PBE-GGA.

abc: 6.0661 6.0661 14.8505
angles: 90.00 90.00 120.00
Space group R-3 (No. 148, hexagonal axes)
Symmetry-distinct sites (fractional):
K1 0.0000 0.0000 0.2501 (multiplicity 6)
La1 0.0000 0.0000 0.0000 (multiplicity 3)
Ru1 0.0000 0.0000 0.5000 (multiplicity 3)
O1 0.0366 0.5190 0.2409 (multiplicity 18)

Density of states at the Fermi level = 0.438 states/eV/atom
Formation energy (no corrections) = -1712.8 meV/atom

---

6.
K2LaSO8: optimized geometry, PBE-GGA.

abc: 5.7610 5.7610 6.3577
angles: 90.00 90.00 120.00
Space group P-3m1 (No. 164)
Symmetry-distinct sites (fractional):
K1 0.3333 0.6667 0.3794 (multiplicity 2)
La1 0.0000 0.0000 0.0000 (multiplicity 1)
S1 0.0000 0.0000 0.5000 (multiplicity 1)
O1 0.1325 0.2650 0.6550 (multiplicity 6)
O2 0.3333 0.6667 0.9888 (multiplicity 2)

Density of states at the Fermi level = 0.614 states/eV/atom
Formation energy (no corrections) = -993.9 meV/atom

---

7.
KLaS2O6: optimized geometry, PBE-GGA.

abc: 8.8110 10.4460 8.0970
angles: 90.00 113.26 90.00
Space group C2/c (No. 15)
Symmetry-distinct sites (fractional):
K1 0.0000 0.1417 0.2500 (multiplicity 4)
La1 0.0000 0.4446 0.7500 (multiplicity 4)
S1 0.2136 0.1294 0.7814 (multiplicity 8)
O1 0.1016 0.3897 0.0786 (multiplicity 8)
O2 0.1961 0.2744 0.7516 (multiplicity 8)
O3 0.2260 0.0704 0.6128 (multiplicity 8)

Density of states at the Fermi level = 0.000 states/eV/atom
Formation energy (no corrections) = -2051.8 meV/atom

---

8.
KLaSO: optimized geometry, PBE-GGA.

abc: 3.9740 3.9740 20.9107
angles: 90.00 90.00 120.00
Space group R3m (No. 160, hexagonal axes)
Symmetry-distinct sites (fractional):
K1 0.0000 0.0000 0.0000 (multiplicity 3)
La1 0.0000 0.0000 0.5145 (multiplicity 3)
S1 0.0000 0.0000 0.7632 (multiplicity 3)
O1 0.0000 0.0000 0.2266 (multiplicity 3)

Density of states at the Fermi level = 0.000 states/eV/atom
Formation energy (no corrections) = -2234.8 meV/atom

---

9.
KLa2SbO5: optimized geometry, PBE-GGA.

abc: 7.0229 7.0229 6.3587
angles: 90.00 90.00 90.00
Space group P4/mbm (No. 127)
Symmetry-distinct sites (fractional):
K1 0.0000 0.0000 0.0000 (multiplicity 2)
La1 0.1801 0.3199 0.5000 (multiplicity 4)
Sb1 0.0000 0.5000 0.0000 (multiplicity 2)
O1 0.0000 0.0000 0.5000 (multiplicity 2)
O2 0.1408 0.6408 0.2581 (multiplicity 8)

Density of states at the Fermi level = 0.052 states/eV/atom
Formation energy (no corrections) = -2329.6 meV/atom

---

10.
K2LaSbO6: optimized geometry, PBE-GGA.

abc: 8.7669 8.7669 8.7669
angles: 90.00 90.00 90.00
Space group Fm-3m (No. 225)
Symmetry-distinct sites (fractional):
K1 0.2500 0.2500 0.2500 (multiplicity 8)
La1 0.0000 0.0000 0.0000 (multiplicity 4)
Sb1 0.0000 0.0000 0.5000 (multiplicity 4)
O1 0.0000 0.0000 0.2719 (multiplicity 24)

Density of states at the Fermi level = 0.331 states/eV/atom
Formation energy (no corrections) = -1809.1 meV/atom

---

11.
K4La3SbO8: optimized geometry, PBE-GGA.

abc: 7.3608 7.3608 18.8564
angles: 90.00 90.00 120.00
Space group R-3m (No. 166, hexagonal axes)
Symmetry-distinct sites (fractional):
K1 0.0000 0.0000 0.0000 (multiplicity 3)
K2 0.0000 0.5000 0.0000 (multiplicity 9)
La1 0.0000 0.5000 0.5000 (multiplicity 9)
Sb1 0.0000 0.0000 0.5000 (multiplicity 3)
O1 0.0000 0.0000 0.2302 (multiplicity 6)
O2 0.0051 0.5026 0.2311 (multiplicity 18)

Density of states at the Fermi level = 0.000 states/eV/atom
Formation energy (no corrections) = -2313.0 meV/atom

---

12.
K3La3SbO8: optimized geometry, PBE-GGA.

abc: 7.2670 7.2670 19.0216
angles: 90.00 90.00 120.00
Space group R-3m (No. 166, hexagonal axes)
Symmetry-distinct sites (fractional):
K1 0.0000 0.5000 0.0000 (multiplicity 9)
La1 0.0000 0.5000 0.5000 (multiplicity 9)
Sb1 0.0000 0.0000 0.5000 (multiplicity 3)
O1 0.0000 0.0000 0.2291 (multiplicity 6)
O2 0.0360 0.5180 0.2255 (multiplicity 18)

Density of states at the Fermi level = 0.128 states/eV/atom
Formation energy (no corrections) = -2394.4 meV/atom